Compound: YMnNiF2
Source: the Alexandria database
Functional: PBEsol
Structure: optimized geometry

CIF file:
```
data_YMnNiF2
_chemical_formula_sum 'Y1 Mn1 Ni1 F2'
_symmetry_space_group_name_H-M 'P 1'
_symmetry_Int_Tables_number 1
_symmetry_space_group_name_Hall 'P 1'
_cell_length_a 4.0759
_cell_length_b 4.0759
_cell_length_c 6.3706
_cell_angle_alpha 90.00
_cell_angle_beta 90.00
_cell_angle_gamma 90.00
loop_
_atom_site_label
_atom_site_type_symbol
_atom_site_fract_x
_atom_site_fract_y
_atom_site_fract_z
Y1 Y 0.0000 0.0000 0.0000
Mn1 Mn 0.0000 0.0000 0.5000
Ni1 Ni 0.5000 0.5000 0.5000
F1 F 0.0000 0.5000 0.0000
F2 F 0.5000 0.0000 0.0000
```

## Properties
**Theoretical density**: 3.77 g/cm3
**Space-group type**: P4/mmm
**Final energy**: -6.461 eV/atom
**E_form (uncorrected)**: -1142 meV/atom

***

Compound: Be2CrTc
Source: the Alexandria database
Functional: PBEsol
Structure: optimized geometry

CIF file:
```
data_Be2CrTc
_chemical_formula_sum 'Be4 Cr2 Tc2'
_symmetry_space_group_name_H-M 'P 1'
_symmetry_Int_Tables_number 1
_symmetry_space_group_name_Hall 'P 1'
_cell_length_a 7.9923
_cell_length_b 3.0463
_cell_length_c 3.8013
_cell_angle_alpha 90.00
_cell_angle_beta 116.77
_cell_angle_gamma 90.00
loop_
_atom_site_label
_atom_site_type_symbol
_atom_site_fract_x
_atom_site_fract_y
_atom_site_fract_z
Be1 Be 0.0000 0.0000 0.0000
Be2 Be 0.2134 0.5000 0.1951
Be3 Be 0.5000 0.5000 0.0000
Be4 Be 0.7134 0.0000 0.1951
Cr1 Cr 0.4744 0.0000 0.4709
Cr2 Cr 0.9744 0.5000 0.4709
Tc1 Tc 0.2377 0.0000 0.7203
Tc2 Tc 0.7377 0.5000 0.7203
```

## Properties
**Theoretical density**: 6.75 g/cm3
**Space-group type**: Cm
**Final energy**: -7.436 eV/atom
**Distance to the lowest polymorph of the same formula**: 0 meV/atom
**Energy of formation from the pure elements**: -0.06 eV per atom

***

Compound: Li2BeRu
Source: the Alexandria database
Functional: PBEsol
Structure: optimized geometry

CIF file:
```
data_Li2BeRu
_chemical_formula_sum 'Li4 Be2 Ru2'
_symmetry_space_group_name_H-M 'P 1'
_symmetry_Int_Tables_number 1
_symmetry_space_group_name_Hall 'P 1'
_cell_length_a 4.6234
_cell_length_b 8.5530
_cell_length_c 2.4178
_cell_angle_alpha 90.00
_cell_angle_beta 90.00
_cell_angle_gamma 90.00
loop_
_atom_site_label
_atom_site_type_symbol
_atom_site_fract_x
_atom_site_fract_y
_atom_site_fract_z
Li1 Li 0.2500 0.2500 0.0000
Li2 Li 0.2500 0.7500 0.0000
Li3 Li 0.7500 0.2500 0.0000
Li4 Li 0.7500 0.7500 0.0000
Be1 Be 0.0000 0.0000 0.5000
Be2 Be 0.5000 0.5000 0.5000
Ru1 Ru 0.0000 0.5000 0.5000
Ru2 Ru 0.5000 0.0000 0.5000
```

## Properties
**Theoretical density**: 4.31 g/cm3
**Space-group type**: Cmmm
**Final energy**: -4.328 eV/atom
**Energy of formation from the pure elements**: 0.20 eV per atom

***

Compound: K2Se4O
Source: the Alexandria database
Functional: PBEsol
Structure: optimized geometry

CIF file:
```
data_K2Se4O
_chemical_formula_sum 'K4 Se8 O2'
_symmetry_space_group_name_H-M 'P 1'
_symmetry_Int_Tables_number 1
_symmetry_space_group_name_Hall 'P 1'
_cell_length_a 6.1620
_cell_length_b 6.1620
_cell_length_c 10.2614
_cell_angle_alpha 90.93
_cell_angle_beta 90.93
_cell_angle_gamma 86.86
loop_
_atom_site_label
_atom_site_type_symbol
_atom_site_fract_x
_atom_site_fract_y
_atom_site_fract_z
K1 K 0.1797 0.6592 0.1107
K2 K 0.1981 0.8019 0.5000
K3 K 0.6592 0.1797 0.6107
K4 K 0.8019 0.1981 0.0000
Se1 Se 0.1308 0.3051 0.3742
Se2 Se 0.1496 0.3143 0.6080
Se3 Se 0.3051 0.1308 0.8742
Se4 Se 0.3143 0.1496 0.1080
Se5 Se 0.3728 0.7483 0.8107
Se6 Se 0.6754 0.7529 0.3062
Se7 Se 0.7483 0.3728 0.3107
Se8 Se 0.7529 0.6754 0.8062
O1 O 0.6242 0.8409 0.4648
O2 O 0.8409 0.6242 0.9648
```

## Properties
**Theoretical density**: 3.50 g/cm3
**Space-group type**: Cc
**Final energy**: -3.968 eV/atom
**E_form (uncorrected)**: -694 meV/atom

***

Compound: TaNi2GeTe
Source: the Alexandria database
Functional: PBEsol
Structure: optimized geometry

CIF file:
```
data_TaNi2GeTe
_chemical_formula_sum 'Ta1 Ni2 Ge1 Te1'
_symmetry_space_group_name_H-M 'P 1'
_symmetry_Int_Tables_number 1
_symmetry_space_group_name_Hall 'P 1'
_cell_length_a 4.4039
_cell_length_b 4.4039
_cell_length_c 5.2323
_cell_angle_alpha 90.00
_cell_angle_beta 90.00
_cell_angle_gamma 90.00
loop_
_atom_site_label
_atom_site_type_symbol
_atom_site_fract_x
_atom_site_fract_y
_atom_site_fract_z
Ta1 Ta 0.0000 0.0000 0.0000
Ni1 Ni 0.0000 0.5000 0.5000
Ni2 Ni 0.5000 0.0000 0.5000
Ge1 Ge 0.5000 0.5000 0.0000
Te1 Te 0.5000 0.5000 0.5000
```

## Properties
**Theoretical density**: 8.16 g/cm3
**Space-group type**: P4/mmm
**Final energy**: -5.278 eV/atom
**E_form (uncorrected)**: 1389 meV/atom

***

Compound: TaSbIr2
Source: the Alexandria database
Functional: PBEsol
Structure: optimized geometry

CIF file:
```
data_TaSbIr2
_chemical_formula_sum 'Ta4 Sb4 Ir8'
_symmetry_space_group_name_H-M 'P 1'
_symmetry_Int_Tables_number 1
_symmetry_space_group_name_Hall 'P 1'
_cell_length_a 5.7859
_cell_length_b 5.7859
_cell_length_c 11.5065
_cell_angle_alpha 90.00
_cell_angle_beta 90.00
_cell_angle_gamma 90.00
loop_
_atom_site_label
_atom_site_type_symbol
_atom_site_fract_x
_atom_site_fract_y
_atom_site_fract_z
Ta1 Ta 0.0000 0.0000 0.0000
Ta2 Ta 0.0000 0.5000 0.2500
Ta3 Ta 0.5000 0.0000 0.7500
Ta4 Ta 0.5000 0.5000 0.5000
Sb1 Sb 0.0000 0.0000 0.5000
Sb2 Sb 0.0000 0.5000 0.7500
Sb3 Sb 0.5000 0.0000 0.2500
Sb4 Sb 0.5000 0.5000 0.0000
Ir1 Ir 0.2399 0.2500 0.1250
Ir2 Ir 0.2500 0.7399 0.3750
Ir3 Ir 0.2500 0.7601 0.8750
Ir4 Ir 0.2601 0.2500 0.6250
Ir5 Ir 0.7399 0.7500 0.6250
Ir6 Ir 0.7500 0.2399 0.8750
Ir7 Ir 0.7500 0.2601 0.3750
Ir8 Ir 0.7601 0.7500 0.1250
```

## Properties
**Theoretical density**: 11.85 g/cm3
**Space-group type**: I-42d
**Final energy**: -8.760 eV/atom
**E_form (uncorrected)**: 429 meV/atom

***

Please write out number 4 again, unchanged.
Compound: K2Se4O
Source: the Alexandria database
Functional: PBEsol
Structure: optimized geometry

CIF file:
```
data_K2Se4O
_chemical_formula_sum 'K4 Se8 O2'
_symmetry_space_group_name_H-M 'P 1'
_symmetry_Int_Tables_number 1
_symmetry_space_group_name_Hall 'P 1'
_cell_length_a 6.1620
_cell_length_b 6.1620
_cell_length_c 10.2614
_cell_angle_alpha 90.93
_cell_angle_beta 90.93
_cell_angle_gamma 86.86
loop_
_atom_site_label
_atom_site_type_symbol
_atom_site_fract_x
_atom_site_fract_y
_atom_site_fract_z
K1 K 0.1797 0.6592 0.1107
K2 K 0.1981 0.8019 0.5000
K3 K 0.6592 0.1797 0.6107
K4 K 0.8019 0.1981 0.0000
Se1 Se 0.1308 0.3051 0.3742
Se2 Se 0.1496 0.3143 0.6080
Se3 Se 0.3051 0.1308 0.8742
Se4 Se 0.3143 0.1496 0.1080
Se5 Se 0.3728 0.7483 0.8107
Se6 Se 0.6754 0.7529 0.3062
Se7 Se 0.7483 0.3728 0.3107
Se8 Se 0.7529 0.6754 0.8062
O1 O 0.6242 0.8409 0.4648
O2 O 0.8409 0.6242 0.9648
```

## Properties
**Theoretical density**: 3.50 g/cm3
**Space-group type**: Cc
**Final energy**: -3.968 eV/atom
**E_form (uncorrected)**: -694 meV/atom

***

Copy entry 1 word for word.
Compound: YMnNiF2
Source: the Alexandria database
Functional: PBEsol
Structure: optimized geometry

CIF file:
```
data_YMnNiF2
_chemical_formula_sum 'Y1 Mn1 Ni1 F2'
_symmetry_space_group_name_H-M 'P 1'
_symmetry_Int_Tables_number 1
_symmetry_space_group_name_Hall 'P 1'
_cell_length_a 4.0759
_cell_length_b 4.0759
_cell_length_c 6.3706
_cell_angle_alpha 90.00
_cell_angle_beta 90.00
_cell_angle_gamma 90.00
loop_
_atom_site_label
_atom_site_type_symbol
_atom_site_fract_x
_atom_site_fract_y
_atom_site_fract_z
Y1 Y 0.0000 0.0000 0.0000
Mn1 Mn 0.0000 0.0000 0.5000
Ni1 Ni 0.5000 0.5000 0.5000
F1 F 0.0000 0.5000 0.0000
F2 F 0.5000 0.0000 0.0000
```

## Properties
**Theoretical density**: 3.77 g/cm3
**Space-group type**: P4/mmm
**Final energy**: -6.461 eV/atom
**E_form (uncorrected)**: -1142 meV/atom